Entry 1:
Computed, not measured: crystalline CeNd2Tl2Ag2 at its relaxed geometry at the PBE level of DFT.

Summary:
**Final energy**: -27.06 eV for the cell shown
**Crystal system**: trigonal
**Total magnetization**: 1.185 μB/cell
**Space group**: R-3m
**ΔE_f**: -15.9 kJ/mol of atoms
**Density of states at the Fermi level**: 9.9 states/eV per cell

Unit cell a=4.9890 b=4.9890 c=9.4700 alpha=74.73 beta=74.73 gamma=60.00
Each line ends with the local moment (μB).
Fractional coordinates of all 7 atoms:
Ce 0.0000 0.0000 0.0000  0.87
Nd 0.1245 0.1245 0.6264  0.05
Nd 0.8755 0.8755 0.3736  0.05
Tl 0.7371 0.7371 0.7886  -0.01
Tl 0.2629 0.2629 0.2114  -0.01
Ag 0.6031 0.6031 0.1908  0.01
Ag 0.3969 0.3969 0.8092  0.01

Entry 2:
Computed, not measured: crystalline K2BePb at its relaxed geometry at the PBE level of DFT.

Summary:
**Final energy**: -6.94 eV for the cell shown
**Offset from the most stable computed form**: 0.505 eV/atom
**Crystal system**: trigonal
**Total magnetization**: 0.043 μB/cell
**Space group**: R-3m
**ΔE_f**: 64.9 kJ/mol of atoms
**Density of states at the Fermi level**: 2.8 states/eV per cell

Unit cell a=11.7475 b=11.7475 c=11.7475 alpha=18.36 beta=18.36 gamma=18.36
Each line ends with the local moment (μB).
Fractional coordinates of all 4 atoms:
Pb 0.2500 0.2500 0.2500  0.09
Be 0.7500 0.7500 0.7500  -0.06
K 0.0064 0.0064 0.0064  0.00
K 0.4936 0.4936 0.4936  0.00

Entry 3:
Computed, not measured: crystalline Nb2Ni15Ir2 at its relaxed geometry at the PBE level of DFT.

Summary:
**Final energy**: -124.85 eV for the cell shown
**Crystal system**: trigonal
**Total magnetization**: 5.612 μB/cell
**Space group**: R-3m
**ΔE_f**: -1.4 kJ/mol of atoms
**Density of states at the Fermi level**: 26.4 states/eV per cell

Unit cell a=6.2050 b=6.2050 c=6.2050 alpha=82.23 beta=82.23 gamma=82.23
Each line ends with the local moment (μB).
Fractional coordinates of all 19 atoms:
Nb 0.3268 0.3268 0.3268  -0.13
Nb 0.6732 0.6732 0.6732  -0.13
Ni 0.5000 0.0000 0.0000  0.40
Ni 0.0000 0.0000 0.5000  0.40
Ni 0.0000 0.5000 0.0000  0.40
Ni 0.0000 0.6908 0.3092  0.28
Ni 0.6908 0.3092 0.0000  0.28
Ni 0.3092 0.0000 0.6908  0.28
Ni 0.3092 0.6908 0.0000  0.28
Ni 0.6908 0.0000 0.3092  0.28
Ni 0.0000 0.3092 0.6908  0.28
Ni 0.1644 0.6478 0.6478  0.47
Ni 0.6478 0.6478 0.1644  0.47
Ni 0.6478 0.1644 0.6478  0.47
Ni 0.8356 0.3522 0.3522  0.47
Ni 0.3522 0.3522 0.8356  0.47
Ni 0.3522 0.8356 0.3522  0.47
Ir 0.1063 0.1063 0.1063  0.23
Ir 0.8937 0.8937 0.8937  0.23

Entry 4:
Computed, not measured: crystalline Ba3Pt2Pb2Au4 at its relaxed geometry at the PBE level of DFT.

Summary:
**Final energy**: -44.13 eV for the cell shown
**Crystal system**: trigonal
**Total magnetization**: 0.000 μB/cell
**Space group**: P-3m1
**ΔE_f**: -50.5 kJ/mol of atoms
**Density of states at the Fermi level**: 4.2 states/eV per cell

Unit cell a=4.7543 b=4.7543 c=16.8151 alpha=90.00 beta=90.00 gamma=120.00
Fractional coordinates of all 11 atoms:
Ba 0.0000 0.0000 0.7483
Ba 0.0000 0.0000 0.0000
Ba 0.0000 0.0000 0.2517
Pt 0.6667 0.3333 0.8696
Pt 0.3333 0.6667 0.1304
Pb 0.6667 0.3333 0.4345
Pb 0.3333 0.6667 0.5655
Au 0.6667 0.3333 0.1289
Au 0.3333 0.6667 0.8711
Au 0.6667 0.3333 0.6155
Au 0.3333 0.6667 0.3845

Entry 5:
Computed, not measured: crystalline CrAs4Ru at its relaxed geometry at the PBE level of DFT.

Summary:
**Final energy**: -32.68 eV for the cell shown
**Crystal system**: cubic
**Total magnetization**: 2.487 μB/cell
**Space group**: F-43m
**ΔE_f**: 77.5 kJ/mol of atoms
**Density of states at the Fermi level**: 3.9 states/eV per cell

Unit cell a=5.3881 b=5.3881 c=5.3881 alpha=60.00 beta=60.00 gamma=60.00
Each line ends with the local moment (μB).
Fractional coordinates of all 6 atoms:
Cr 0.7500 0.7500 0.7500  3.77
As 0.8759 0.3747 0.3747  -0.04
As 0.3747 0.3747 0.8759  -0.04
As 0.3747 0.8759 0.3747  -0.04
As 0.3747 0.3747 0.3747  -0.04
Ru 0.0000 0.0000 0.0000  -1.43

Entry 6:
Computed, not measured: crystalline TbEr2V at its relaxed geometry at the PBE level of DFT.

Summary:
**Final energy**: -21.52 eV for the cell shown
**Crystal system**: trigonal
**Total magnetization**: 2.305 μB/cell
**Space group**: R-3m
**ΔE_f**: 32.6 kJ/mol of atoms
**Density of states at the Fermi level**: 5.3 states/eV per cell

Unit cell a=3.4325 b=3.4325 c=10.6693 alpha=80.74 beta=80.74 gamma=60.00
Each line ends with the local moment (μB).
Fractional coordinates of all 4 atoms:
V 0.0000 0.0000 0.0000  1.90
Tb 0.5000 0.5000 0.5000  0.02
Er 0.2623 0.2623 0.2132  0.08
Er 0.7377 0.7377 0.7868  0.08